# Sm2HfGa4Pd3 | Alexandria via LeMat-Bulk | PBE | relaxed
data_Sm2HfGa4Pd3
_symmetry_space_group_name_H-M 'P -4 m 2'
_symmetry_Int_Tables_number 115
_cell_length_a 4.158
_cell_length_b 4.158
_cell_length_c 11.530
_cell_angle_alpha 90.00
_cell_angle_beta 90.00
_cell_angle_gamma 90.00
loop_
_symmetry_equiv_pos_as_xyz
'x,y,z'
'y,-x,-z'
'-x,-y,z'
'-y,x,-z'
'-x,y,z'
'-y,-x,-z'
'x,-y,z'
'y,x,-z'
loop_
_atom_site_label
_atom_site_type_symbol
_atom_site_fract_x
_atom_site_fract_y
_atom_site_fract_z
Sm1 Sm 0.000 0.500 0.244
Hf1 Hf 0.000 0.000 0.500
Ga1 Ga 0.000 0.000 0.000
Ga2 Ga 0.000 0.500 0.654
Ga3 Ga 0.500 0.500 0.000
Pd1 Pd 0.000 0.500 0.870
Pd2 Pd 0.500 0.500 0.500
# DOS at the Fermi energy in states/eV per atom: 0.678
# Crystal system: tetragonal
# Formation enthalpy at 0 K in eV per atom: -0.7028

# HfP2SeS | Alexandria via LeMat-Bulk | PBE | relaxed
data_HfP2SeS
_symmetry_space_group_name_H-M 'P 4/m m m'
_symmetry_Int_Tables_number 123
_symmetry_space_group_name_Hall '-P 4 2'
_cell_length_a 4.663
_cell_length_b 4.663
_cell_length_c 4.596
_cell_angle_alpha 90.00
_cell_angle_beta 90.00
_cell_angle_gamma 90.00
loop_
_atom_site_label
_atom_site_type_symbol
_atom_site_fract_x
_atom_site_fract_y
_atom_site_fract_z
Hf1 Hf 0.000 0.000 0.000
P1 P 0.000 0.500 0.500
Se1 Se 0.500 0.500 0.500
S1 S 0.500 0.500 0.000
# Raw formation energy in meV/atom: 654
# DOS at the Fermi energy in states/eV per atom: 0.499
# Distance to the lowest polymorph of the same formula in meV/atom: 299.8
# Crystal system: tetragonal

# Hf2TaIrPt | Alexandria via LeMat-Bulk | PBE | relaxed
data_Hf2TaIrPt
_symmetry_space_group_name_H-M 'P 4/m m m'
_symmetry_Int_Tables_number 123
_symmetry_space_group_name_Hall '-P 4 2'
_cell_length_a 5.011
_cell_length_b 5.011
_cell_length_c 4.682
_cell_angle_alpha 90.00
_cell_angle_beta 90.00
_cell_angle_gamma 90.00
loop_
_atom_site_label
_atom_site_type_symbol
_atom_site_fract_x
_atom_site_fract_y
_atom_site_fract_z
Hf1 Hf 0.000 0.500 0.000
Ta1 Ta 0.000 0.000 0.000
Ir1 Ir 0.500 0.500 0.500
Pt1 Pt 0.000 0.000 0.500
# DOS at the Fermi energy in states/eV per atom: 1.023
# Crystal system: tetragonal
# Formation enthalpy at 0 K in eV per atom: 1.2910

# AcFe4Sn12 | Alexandria via LeMat-Bulk | PBE | relaxed
data_AcFe4Sn12
_symmetry_space_group_name_H-M 'I m -3'
_symmetry_Int_Tables_number 204
_symmetry_space_group_name_Hall '-I 2 2 3'
_cell_length_a 9.388
_cell_length_b 9.388
_cell_length_c 9.388
_cell_angle_alpha 90.00
_cell_angle_beta 90.00
_cell_angle_gamma 90.00
loop_
_atom_site_label
_atom_site_type_symbol
_atom_site_fract_x
_atom_site_fract_y
_atom_site_fract_z
Ac1 Ac 0.000 0.000 0.000
Fe1 Fe 0.250 0.250 0.250
Sn1 Sn 0.000 0.175 0.334
# DOS at the Fermi energy in states/eV per atom: 1.058
# Crystal system: cubic
# Formation enthalpy at 0 K in eV per atom: 0.0249

> Which of these has the lowest DOS at the Fermi energy?

HfP2SeS